# 1
## CoCuRu (PBE)

Data for CoCuRu after structural relaxation.

For the final energy, the calculation gives -6.62 eV per atom. For the formation energy, the calculation gives 19.66 kJ per mole of atoms. The space group is P3m1, No. 156.

Cell: 2.6202 2.6202 6.3298 Å, 90.00 90.00 120.00°
Closest atoms and distances in Å follow each position.
Positions (direct):
Ru 0.3333 0.6667 0.6782  3 Co 2.52, 6 Ru 2.62, 3 Cu 2.70
Cu 0.6667 0.3333 0.3247  3 Co 2.57, 6 Cu 2.62, 3 Ru 2.70
Co 0.0000 0.0000 0.9971  3 Ru 2.52, 3 Cu 2.57, 6 Co 2.62

=====

# 2
## Y2BeCrB (PBE)

Data for Y2BeCrB after structural relaxation.

For the final energy, the calculation gives -5.76 eV per atom. For the formation energy, the calculation gives 80.22 kJ per mole of atoms. The space group is P4/mmm, No. 123.

Cell: 5.0690 3.9727 5.0690 Å, 90.00 90.00 90.00°
Closest atoms and distances in Å follow each position.
Positions (direct):
Y 0.5000 0.0000 0.0000  2 Cr 2.53
Cr 0.0000 0.0000 0.0000  2 B 1.99
Be 0.5000 0.5000 0.5000  8 Y 3.22, 4 B 3.58
B 0.0000 0.5000 0.0000  2 Cr 1.99
Y 0.0000 0.0000 0.5000  2 Cr 2.53

=====

# 3
## Cr2NiPt (PBE)

Data for Cr2NiPt after structural relaxation.

For the final energy, the calculation gives -7.78 eV per atom. For the formation energy, the calculation gives -0.94 kJ per mole of atoms. The space group is Cm, No. 8.

Cell: 4.4395 4.4395 4.6256 Å, 81.04 81.04 33.93°
Closest atoms and distances in Å follow each position.
Positions (direct):
Cr 0.0020 0.0020 0.9950  4 Ni 2.55-2.76, 3 Pt 2.59, 5 Cr 2.59-2.62
Ni 0.4954 0.4954 0.5233  7 Cr 2.51-2.76, 2 Ni 2.59, 3 Pt 2.60-2.68
Cr 0.7500 0.7500 0.7357  3 Ni 2.51-2.52, 5 Cr 2.59-2.62, 4 Pt 2.61-2.70
Pt 0.2527 0.2527 0.2460  7 Cr 2.59-2.70, 2 Pt 2.59, 3 Ni 2.60-2.68